[1]
Material: SnPClO2
Method: DFT, PBE
State: relaxed

Results
DFT total energy: -4.409 eV per atom
Total magnetic moment: 0.1415 μB/atom
Energy relative to the lowest polymorph listed for this composition: 5.71 eV per formula unit
Energy relative to the elements, uncorrected: -174 meV/atom
Density of states at the Fermi level: 0.59 states/eV/atom

a b c (Å): 3.926 3.926 5.801
angles (deg): 90.00 90.00 90.00
Sites, in units of the cell vectors:
Sn (0.000, 0.000, 0.000)
P (0.000, 0.000, 0.500)
Cl (0.500, 0.500, 0.500)
O (0.000, 0.500, 0.000)
O (0.500, 0.000, 0.000)


[2]
Material: Na2SrFe
Method: DFT, PBE
State: relaxed

Results
DFT total energy: -2.528 eV per atom
Total magnetic moment: 0.6773 μB/atom
E_form: 0.667 eV/atom
Density of states at the Fermi level: 1.66 states/eV/atom

a b c (Å): 7.822 7.822 7.822
angles (deg): 90.00 90.00 90.00
Sites, in units of the cell vectors:
Na (0.250, 0.250, 0.250)
Na (0.250, 0.250, 0.750)
Na (0.250, 0.750, 0.250)
Na (0.250, 0.750, 0.750)
Na (0.750, 0.250, 0.250)
Na (0.750, 0.250, 0.750)
Na (0.750, 0.750, 0.250)
Na (0.750, 0.750, 0.750)
Sr (0.000, 0.000, 0.000)
Sr (0.000, 0.500, 0.500)
Sr (0.500, 0.000, 0.500)
Sr (0.500, 0.500, 0.000)
Fe (0.000, 0.000, 0.500)
Fe (0.000, 0.500, 0.000)
Fe (0.500, 0.000, 0.000)
Fe (0.500, 0.500, 0.500)


[3]
Material: PmYGe3
Method: DFT, PBE
State: relaxed

Results
DFT total energy: -5.715 eV per atom
Total magnetic moment: 0.0000 μB/atom
E_form: -0.701 eV/atom
Density of states at the Fermi level: 0.53 states/eV/atom

a b c (Å): 13.743 13.743 4.010
angles (deg): 90.00 90.00 162.32
Sites, in units of the cell vectors:
Pm (0.073, 0.927, 0.750)
Pm (0.927, 0.073, 0.250)
Y (0.204, 0.796, 0.250)
Y (0.796, 0.204, 0.750)
Ge (0.313, 0.687, 0.250)
Ge (0.376, 0.624, 0.750)
Ge (0.471, 0.529, 0.750)
Ge (0.529, 0.471, 0.250)
Ge (0.624, 0.376, 0.250)
Ge (0.687, 0.313, 0.750)


[4]
Material: CrCd3
Method: DFT, PBE
State: relaxed

Results
DFT total energy: -2.387 eV per atom
Total magnetic moment: 1.2727 μB/atom
E_form: 0.705 eV/atom
Density of states at the Fermi level: 0.56 states/eV/atom

a b c (Å): 5.485 5.485 5.485
angles (deg): 90.00 90.00 90.00
Sites, in units of the cell vectors:
Cr (0.000, 0.000, 0.000)
Cd (0.000, 0.000, 0.500)
Cd (0.000, 0.500, 0.000)
Cd (0.500, 0.000, 0.000)


[5]
Material: Ba5Sc
Method: DFT, PBE
State: relaxed

Results
DFT total energy: -2.485 eV per atom
Total magnetic moment: 0.0003 μB/atom
Energy relative to the lowest polymorph listed for this composition: 0.07 eV per formula unit
E_form: 0.173 eV/atom
Density of states at the Fermi level: 1.48 states/eV/atom

a b c (Å): 15.032 4.453 10.458
angles (deg): 90.00 111.27 90.00
Sites, in units of the cell vectors:
Ba (0.000, 0.000, 0.000)
Ba (0.023, 0.000, 0.431)
Ba (0.191, 0.500, 0.843)
Ba (0.216, 0.500, 0.276)
Ba (0.358, 0.000, 0.638)
Ba (0.500, 0.500, 0.000)
Ba (0.523, 0.500, 0.431)
Ba (0.691, 0.000, 0.843)
Ba (0.716, 0.000, 0.276)
Ba (0.858, 0.500, 0.638)
Sc (0.357, 0.000, 0.137)
Sc (0.857, 0.500, 0.137)


[6]
Material: Ce2SnRu3
Method: DFT, PBE
State: relaxed

Results
DFT total energy: -7.606 eV per atom
Total magnetic moment: 0.0000 μB/atom
E_form: -0.323 eV/atom
Density of states at the Fermi level: 0.91 states/eV/atom

a b c (Å): 6.751 6.751 8.495
angles (deg): 118.85 118.85 49.17
Sites, in units of the cell vectors:
Ce (0.136, 0.239, 0.103)
Ce (0.239, 0.136, 0.603)
Ce (0.761, 0.864, 0.397)
Ce (0.864, 0.761, 0.897)
Sn (0.288, 0.712, 0.750)
Sn (0.712, 0.288, 0.250)
Ru (0.194, 0.806, 0.250)
Ru (0.334, 0.416, 0.397)
Ru (0.416, 0.334, 0.897)
Ru (0.584, 0.666, 0.103)
Ru (0.666, 0.584, 0.603)
Ru (0.806, 0.194, 0.750)


[7]
Material: Na2Ir2Au
Method: DFT, PBE
State: relaxed

Results
DFT total energy: -4.363 eV per atom
Total magnetic moment: 0.1908 μB/atom
Energy relative to the lowest polymorph listed for this composition: 0.00 eV per formula unit
E_form: 0.364 eV/atom
Density of states at the Fermi level: 0.39 states/eV/atom

a b c (Å): 6.587 6.587 4.797
angles (deg): 90.00 90.00 90.00
Sites, in units of the cell vectors:
Na (0.175, 0.325, 0.000)
Na (0.325, 0.825, 0.000)
Na (0.675, 0.175, 0.000)
Na (0.825, 0.675, 0.000)
Ir (0.125, 0.625, 0.500)
Ir (0.375, 0.125, 0.500)
Ir (0.625, 0.875, 0.500)
Ir (0.875, 0.375, 0.500)
Au (0.000, 0.000, 0.500)
Au (0.500, 0.500, 0.500)


[8]
Material: GaHg2Pb
Method: DFT, PBE
State: relaxed

Results
DFT total energy: -1.761 eV per atom
Total magnetic moment: 0.0000 μB/atom
E_form: 0.074 eV/atom
Density of states at the Fermi level: 0.47 states/eV/atom

a b c (Å): 8.209 8.209 6.347
angles (deg): 90.00 90.00 90.00
Sites, in units of the cell vectors:
Ga (0.000, 0.000, 0.000)
Ga (0.000, 0.500, 0.250)
Ga (0.500, 0.000, 0.750)
Ga (0.500, 0.500, 0.500)
Hg (0.217, 0.250, 0.125)
Hg (0.250, 0.717, 0.375)
Hg (0.250, 0.783, 0.875)
Hg (0.283, 0.250, 0.625)
Hg (0.717, 0.750, 0.625)
Hg (0.750, 0.217, 0.875)
Hg (0.750, 0.283, 0.375)
Hg (0.783, 0.750, 0.125)
Pb (0.000, 0.000, 0.500)
Pb (0.000, 0.500, 0.750)
Pb (0.500, 0.000, 0.250)
Pb (0.500, 0.500, 0.000)